[1]
Crystalline NaTe2Pb at its relaxed geometry. Source: Alexandria, functional PBE.

As for the crystal system: tetragonal. The value obtained for the uncorrected formation energy is -0.378 eV/atom. The calculated density comes out at 6.620 g/cm³. The magnetic moment is 0.0 μB per cell.

Cell lengths 5.3668, 5.3668, 4.2271 Å; angles 90.00, 90.00, 90.00 degrees
Closest atoms and distances in Å follow each position.
Space group P4/mmm (No. 123)
Asymmetric unit:
Na 0.0000 0.0000 0.0000 x1  8 Te 3.42, 4 Pb 3.79
Te 0.0000 0.5000 0.5000 x2  4 Pb 3.42, 4 Na 3.42, 4 Te 3.79
Pb 0.5000 0.5000 0.0000 x1  8 Te 3.42, 4 Na 3.79

***

[2]
Crystalline NaTe2Pb at its relaxed geometry. Source: Alexandria, functional PBE.

As for the crystal system: trigonal. The value obtained for the uncorrected formation energy is -0.455 eV/atom. The calculated density comes out at 6.087 g/cm³. The magnetic moment is 0.0 μB per cell.

Cell lengths 4.4372, 4.4372, 23.2956 Å; angles 90.00, 90.00, 120.00 degrees
Closest atoms and distances in Å follow each position.
Space group R-3m (No. 166, hexagonal axes)
Asymmetric unit:
Na 0.0000 0.0000 0.0000 x3  6 Te 3.24
Te 0.0000 0.0000 0.2483 x6  3 Pb 3.19, 3 Na 3.24
Pb 0.0000 0.0000 0.5000 x3  6 Te 3.19

***

[3]
Crystalline Na2Te2Pb at its relaxed geometry. Source: Alexandria, functional PBE.

As for the crystal system: monoclinic. The value obtained for the uncorrected formation energy is -0.639 eV/atom. The calculated density comes out at 4.887 g/cm³. The magnetic moment is 0.0 μB per cell.

Cell lengths 11.4925, 7.7622, 7.7457 Å; angles 90.00, 90.05, 90.00 degrees
Closest atoms and distances in Å follow each position.
Space group P2_1/c (No. 14)
Asymmetric unit:
Na 0.0171 0.2501 0.0000 x4  4 Te 3.10-3.41, 1 Na 3.41
Na 0.2793 0.7504 0.0000 x4  4 Te 3.05-3.16, 1 Na 3.41
Te 0.1522 0.0105 0.2502 x4  6 Na 3.10-3.41
Te 0.4427 0.5665 0.2499 x4  2 Na 3.05, 4 Pb 3.21-3.23
Pb 0.3717 0.2504 0.9996 x4  4 Te 3.21-3.23

***

[4]
Crystalline NaTe2Pb2 at its relaxed geometry. Source: Alexandria, functional PBE.

As for the crystal system: tetragonal. The value obtained for the uncorrected formation energy is -0.262 eV/atom. The calculated density comes out at 6.619 g/cm³. The magnetic moment is 0.0 μB per cell.

Cell lengths 4.6242, 4.6242, 16.2502 Å; angles 90.00, 90.00, 90.00 degrees
Closest atoms and distances in Å follow each position.
Space group I4/mmm (No. 139)
Asymmetric unit:
Na 0.0000 0.0000 0.0000 x2  8 Te 3.61
Te 0.0000 0.0000 0.4053 x4  1 Te 3.08, 4 Pb 3.42
Pb 0.0000 0.5000 0.2500 x4  4 Pb 3.27, 4 Te 3.42

***

[5]
Crystalline Na3TePb at its relaxed geometry. Source: Alexandria, functional PBE.

As for the crystal system: cubic. The value obtained for the uncorrected formation energy is -0.192 eV/atom. The calculated density comes out at 3.404 g/cm³. The magnetic moment is 0.0 μB per cell.

Cell lengths 5.8185, 5.8185, 5.8185 Å; angles 90.00, 90.00, 90.00 degrees
Closest atoms and distances in Å follow each position.
Space group Pm-3m (No. 221)
Asymmetric unit:
Na 0.0000 0.0000 0.5000 x3  2 Te 2.91
Te 0.0000 0.0000 0.0000 x1  6 Na 2.91
Pb 0.5000 0.5000 0.5000 x1  12 Na 4.11

***

[6]
Crystalline Na2Te2Pb at its relaxed geometry. Source: Alexandria, functional PBE.

As for the crystal system: tetragonal. The value obtained for the uncorrected formation energy is -0.463 eV/atom. The calculated density comes out at 5.398 g/cm³. The magnetic moment is 0.0 μB per cell.

Cell lengths 4.4394, 4.4394, 15.8690 Å; angles 90.00, 90.00, 90.00 degrees
Closest atoms and distances in Å follow each position.
Space group I4/mmm (No. 139)
Asymmetric unit:
Na 0.0000 0.5000 0.2500 x4  4 Te 3.09, 4 Na 3.14
Te 0.0000 0.0000 0.1145 x4  4 Na 3.09
Pb 0.0000 0.0000 0.5000 x2  8 Te 3.63